Below is crystalline NpTlNi2O6 at its relaxed geometry, with properties calculated at the GGA+U level.

Cell: 5.642 5.793 6.780 Å, 57.29 57.10 57.15°
Positions (direct):
Np 0.328 0.324 0.022
Tl 0.790 0.843 0.618
Ni 0.495 0.499 0.374
Ni 0.011 0.057 0.980
O 0.581 0.252 0.212
O 0.281 0.916 0.189
O 0.916 0.487 0.234
O 0.310 0.737 0.836
O 0.740 0.177 0.808
O 0.210 0.369 0.741

Calculated values
Crystal system ... triclinic
Space group ... P1 (1)
M_tot ... 4.05 μB per formula unit
Raw total energy ... -6.573 eV/atom